i | This record from Alexandria via LeMat-Bulk describes a relaxed Mn2Fe2Pt crystal. The functional is PBE.

extended XYZ file:
```
10
Lattice="6.716 0.000 0.000 0.000 6.716 0.000 0.000 0.000 2.581" Properties=species:S:1:pos:R:3 pbc="T T T"
Mn 1.135 4.493 1.291
Mn 2.223 1.135 1.291
Mn 4.493 5.581 1.291
Fe 4.190 0.832 0.000
Mn 5.581 2.223 1.291
Pt 0.000 0.000 0.000
Fe 0.832 2.526 0.000
Fe 5.884 4.190 0.000
Fe 2.526 5.884 0.000
Pt 3.358 3.358 0.000
```

Calculated values
* total magnetic moment: 0.00 μB/cell



ii | This record from Alexandria via LeMat-Bulk describes a relaxed Mn2Fe2Pt crystal. The functional is PBE.

extended XYZ file:
```
10
Lattice="6.746 0.000 0.000 0.000 6.746 0.000 0.000 0.000 2.575" Properties=species:S:1:pos:R:3 pbc="T T T"
Mn 0.809 2.564 0.000
Pt 0.000 0.000 0.000
Pt 3.373 3.373 0.000
Fe 2.223 1.150 1.287
Mn 2.564 5.937 0.000
Fe 1.150 4.523 1.287
Mn 5.937 4.181 0.000
Fe 4.523 5.595 1.287
Mn 4.181 0.809 0.000
Fe 5.595 2.223 1.287
```

Calculated values
* total magnetic moment: 0.00 μB/cell



Preferred: i; penalty for the next structure: 4.5 kJ/mol of atoms.



i | This record from Alexandria via LeMat-Bulk describes a relaxed PuMnFe crystal. The functional is PBE.

extended XYZ file:
```
3
Lattice="-1.505 3.118 0.576 -2.204 -1.487 2.291 4.302 -0.149 1.354" Properties=species:S:1:pos:R:3 pbc="T T T"
Pu 0.329 1.410 3.920
Fe 1.291 0.352 1.471
Mn -1.169 1.002 2.214
```

Calculated values
* total magnetic moment: 1.00 μB/cell



ii | This record from Alexandria via LeMat-Bulk describes a relaxed PuMnFe crystal. The functional is PBE.

extended XYZ file:
```
6
Lattice="4.101 0.000 0.000 0.000 4.101 0.000 -2.051 -2.051 5.535" Properties=species:S:1:pos:R:3 pbc="T T T"
Fe 0.000 2.051 0.000
Fe 2.051 0.000 0.000
Pu 2.051 2.051 1.837
Mn 2.051 2.051 4.046
Pu 0.000 0.000 3.698
Mn 0.000 0.000 1.489
```

Calculated values
* total magnetic moment: 1.04 μB/cell



iii | This record from Alexandria via LeMat-Bulk describes a relaxed PuMnFe crystal. The functional is PBE.

extended XYZ file:
```
3
Lattice="-1.134 -0.971 1.812 3.657 -2.418 0.994 -0.569 4.068 1.825" Properties=species:S:1:pos:R:3 pbc="T T T"
Mn -0.191 -0.164 0.306
Pu 0.086 1.261 2.752
Fe 2.059 -0.418 1.573
```

Calculated values
* total magnetic moment: 1.04 μB/cell



iv | This record from Alexandria via LeMat-Bulk describes a relaxed PuMnFe crystal. The functional is PBE.

extended XYZ file:
```
6
Lattice="-0.611 4.685 -1.532 -4.236 -1.915 1.748 2.950 -0.779 3.919" Properties=species:S:1:pos:R:3 pbc="T T T"
Mn -0.643 -1.347 2.834
Fe -2.118 -0.957 0.874
Fe -0.949 0.995 2.068
Pu -3.788 1.759 0.832
Pu 1.890 0.231 3.304
Mn 1.169 1.953 1.194
```

Calculated values
* total magnetic moment: 2.35 μB/cell



Preferred: iv; penalty for the next structure: 8.6 kJ/mol of atoms.



i | This record from Alexandria via LeMat-Bulk describes a relaxed RbMnFe3 crystal. The functional is PBE.

extended XYZ file:
```
5
Lattice="-4.611 -0.340 0.301 0.444 -4.037 2.231 0.099 2.249 4.050" Properties=species:S:1:pos:R:3 pbc="T T T"
Rb 0.000 0.000 0.000
Fe -2.306 -0.170 0.151
Fe 0.049 1.125 2.025
Mn -2.035 -1.064 3.291
Fe 0.222 -2.019 1.115
```

Calculated values
* total magnetic moment: 3.02 μB/cell



ii | This record from Alexandria via LeMat-Bulk describes a relaxed RbMnFe3 crystal. The functional is PBE.

extended XYZ file:
```
5
Lattice="4.577 0.000 0.000 0.000 4.577 0.000 0.000 0.000 4.577" Properties=species:S:1:pos:R:3 pbc="T T T"
Fe 0.000 0.000 2.288
Fe 0.000 2.288 0.000
Rb 2.288 2.288 2.288
Fe 2.288 0.000 0.000
Mn 0.000 0.000 0.000
```

Calculated values
* total magnetic moment: 7.51 μB/cell



Preferred: ii; penalty for the next structure: 129.8 kJ/mol of atoms.



i | This record from Alexandria via LeMat-Bulk describes a relaxed Rb2MnFe crystal. The functional is PBE.

extended XYZ file:
```
4
Lattice="0.000 4.275 4.275 4.275 0.000 4.275 4.275 4.275 0.000" Properties=species:S:1:pos:R:3 pbc="T T T"
Rb 6.413 6.413 6.413
Fe 4.275 4.275 4.275
Rb 2.138 2.138 2.138
Mn 0.000 0.000 0.000
```

Calculated values
* total magnetic moment: 7.51 μB/cell



ii | This record from Alexandria via LeMat-Bulk describes a relaxed Rb2MnFe crystal. The functional is PBE.

extended XYZ file:
```
8
Lattice="13.063 0.000 0.000 0.000 13.063 0.000 6.531 6.531 2.172" Properties=species:S:1:pos:R:3 pbc="T T T"
Fe 13.063 6.531 1.086
Mn 6.531 6.531 0.000
Rb 16.328 13.944 1.629
Rb 5.650 9.797 0.543
Mn 6.531 13.063 1.086
Rb 7.413 3.266 0.543
Fe 0.000 0.000 0.000
Rb 9.797 12.181 1.629
```

Calculated values
* total magnetic moment: 11.47 μB/cell



Preferred: ii; penalty for the next structure: 23.3 kJ/mol of atoms.



i | This record from Alexandria via LeMat-Bulk describes a relaxed MnFeRe2 crystal. The functional is PBE.

extended XYZ file:
```
4
Lattice="-3.673 -7.835 0.043 -1.544 -8.365 1.591 -3.766 -7.317 2.676" Properties=species:S:1:pos:R:3 pbc="T T T"
Mn -6.768 -17.719 3.247
Re -2.212 -5.790 1.061
Fe -4.455 -11.665 2.137
Re -0.039 -0.102 0.019
```

Calculated values
* total magnetic moment: 1.77 μB/cell



ii | This record from Alexandria via LeMat-Bulk describes a relaxed MnFeRe2 crystal. The functional is PBE.

extended XYZ file:
```
4
Lattice="-1.967 0.764 1.639 -1.422 -2.149 -0.705 3.033 -3.779 5.399" Properties=species:S:1:pos:R:3 pbc="T T T"
Re -0.868 -1.723 1.939
Fe 1.560 -1.943 2.777
Re 2.964 -3.692 5.275
Mn 0.538 -3.474 4.442
```

Calculated values
* total magnetic moment: 1.17 μB/cell



iii | This record from Alexandria via LeMat-Bulk describes a relaxed MnFeRe2 crystal. The functional is PBE.

extended XYZ file:
```
4
Lattice="4.543 0.007 0.000 1.415 4.317 0.000 -2.979 -2.162 2.662" Properties=species:S:1:pos:R:3 pbc="T T T"
Fe 0.708 2.158 1.331
Mn 2.272 0.004 1.331
Re 2.979 2.162 0.000
Re 0.000 0.000 0.000
```

Calculated values
* total magnetic moment: 0.67 μB/cell



iv | This record from Alexandria via LeMat-Bulk describes a relaxed MnFeRe2 crystal. The functional is PBE.

extended XYZ file:
```
4
Lattice="-1.604 1.113 -1.816 1.654 -1.984 -2.676 -3.514 -3.895 0.716" Properties=species:S:1:pos:R:3 pbc="T T T"
Re -0.927 -1.491 -2.052
Re -3.445 -3.818 0.702
Fe -1.778 -1.971 0.362
Mn -2.586 -3.329 -1.714
```

Calculated values
* total magnetic moment: 2.08 μB/cell



Preferred: iii; penalty for the next structure: 5.8 kJ/mol of atoms.



i | This record from Alexandria via LeMat-Bulk describes a relaxed MnFeRe2 crystal. The functional is PBE.

extended XYZ file:
```
8
Lattice="-5.719 -1.904 -2.633 -2.470 -0.917 6.027 -4.924 1.039 1.729" Properties=species:S:1:pos:R:3 pbc="T T T"
Fe -7.369 -1.138 0.396
Re -6.774 -0.283 2.594
Fe 0.000 0.000 0.000
Re -5.090 -1.037 -0.449
Re -3.513 -0.559 3.859
Mn -4.094 -1.410 1.697
Re -10.848 -1.686 4.241
Mn -5.744 -0.644 4.726
```

Calculated values
* total magnetic moment: 0.00 μB/cell



ii | This record from Alexandria via LeMat-Bulk describes a relaxed MnFeRe2 crystal. The functional is PBE.

extended XYZ file:
```
4
Lattice="-0.765 -4.475 0.055 0.612 -3.934 -2.183 3.937 -1.449 2.072" Properties=species:S:1:pos:R:3 pbc="T T T"
Fe 2.838 -7.393 -0.041
Re 1.896 -4.921 -0.023
Re 3.933 -1.457 2.068
Mn 0.946 -2.464 -0.014
```

Calculated values
* total magnetic moment: 0.05 μB/cell



iii | This record from Alexandria via LeMat-Bulk describes a relaxed MnFeRe2 crystal. The functional is PBE.

extended XYZ file:
```
4
Lattice="-1.852 1.163 3.970 -2.652 -3.127 -1.932 1.383 -1.919 1.208" Properties=species:S:1:pos:R:3 pbc="T T T"
Re -2.252 -0.982 1.019
Mn -0.635 -2.523 -0.362
Fe -0.235 -0.378 2.589
Re 0.000 0.000 0.000
```

Calculated values
* total magnetic moment: 0.98 μB/cell



Preferred: iii; penalty for the next structure: 6.2 kJ/mol of atoms.



i | This record from Alexandria via LeMat-Bulk describes a relaxed MnFe2Re crystal. The functional is PBE.

extended XYZ file:
```
4
Lattice="-3.387 -3.115 -1.561 4.647 -1.411 -0.164 0.022 -1.684 1.926" Properties=species:S:1:pos:R:3 pbc="T T T"
Fe 0.000 0.000 0.000
Fe 0.630 -2.263 -0.863
Mn -1.682 -2.399 0.182
Re 2.335 -1.548 0.881
```

Calculated values
* total magnetic moment: 6.24 μB/cell



ii | This record from Alexandria via LeMat-Bulk describes a relaxed MnFe2Re crystal. The functional is PBE.

extended XYZ file:
```
4
Lattice="4.089 0.000 0.000 0.000 2.556 -0.003 0.000 0.904 4.788" Properties=species:S:1:pos:R:3 pbc="T T T"
Mn 0.000 1.701 2.387
Fe 2.045 0.851 1.174
Fe 0.000 0.037 0.050
Re 2.045 2.601 3.566
```

Calculated values
* total magnetic moment: 6.23 μB/cell



Preferred: ii; penalty for the next structure: 2.3 kJ/mol of atoms.



i | This record from Alexandria via LeMat-Bulk describes a relaxed MnFe2Re crystal. The functional is PBE.

extended XYZ file:
```
4
Lattice="4.429 0.013 0.000 1.422 4.195 0.000 -2.926 -2.104 2.575" Properties=species:S:1:pos:R:3 pbc="T T T"
Fe 0.711 2.097 1.288
Mn 2.926 2.104 0.000
Fe 0.000 0.000 0.000
Re 2.215 0.007 1.288
```

Calculated values
* total magnetic moment: 0.18 μB/cell



ii | This record from Alexandria via LeMat-Bulk describes a relaxed MnFe2Re crystal. The functional is PBE.

extended XYZ file:
```
4
Lattice="-1.527 -2.486 -3.860 1.882 -4.399 -0.722 -2.444 2.773 3.122" Properties=species:S:1:pos:R:3 pbc="T T T"
Mn -1.897 -1.578 -1.514
Fe 0.353 -6.864 -4.568
Fe 0.178 -3.463 -2.305
Re -0.193 -2.534 0.054
```

Calculated values
* total magnetic moment: 5.80 μB/cell



Preferred: i; penalty for the next structure: 1.2 kJ/mol of atoms.